[1]
First-principles (meta-GGA SCAN) data for a PBEsol-optimized structure of NaSrLiC2, as listed in Alexandria via LeMat-Bulk.

abc: 4.745 4.745 5.169
angles: 90.00 90.00 90.00
Sites, in units of the cell vectors:
1 Na 0.000 0.000 0.000
2 Sr 0.500 0.500 0.500
3 Li 0.500 0.500 0.000
4 C 0.000 0.500 0.500
5 C 0.500 0.000 0.500

## Properties
- SG: No. 123
- Energy of formation: 2168 meV/atom

---

[2]
First-principles (meta-GGA SCAN) data for a PBEsol-optimized structure of LiNbC3, as listed in Alexandria via LeMat-Bulk.

abc: 3.528 3.528 3.528
angles: 90.00 90.00 90.00
Sites, in units of the cell vectors:
1 Li 0.000 0.000 0.000
2 Nb 0.500 0.500 0.500
3 C 0.000 0.000 0.500
4 C 0.000 0.500 0.000
5 C 0.500 0.000 0.000

## Properties
- SG: No. 221
- Energy of formation: 2157 meV/atom

---

[3]
First-principles (meta-GGA SCAN) data for a PBEsol-optimized structure of Li2NbCSe, as listed in Alexandria via LeMat-Bulk.

abc: 4.045 4.045 4.993
angles: 90.00 90.00 90.00
Sites, in units of the cell vectors:
1 Li 0.000 0.500 0.000
2 Li 0.500 0.000 0.000
3 Nb 0.000 0.000 0.500
4 C 0.500 0.500 0.500
5 Se 0.000 0.000 0.000

## Properties
- SG: No. 123
- Energy relative to the elements, uncorrected: 0.91 eV per atom

---

[4]
First-principles (meta-GGA SCAN) data for a PBEsol-optimized structure of LiNi3C, as listed in Alexandria via LeMat-Bulk.

abc: 3.704 3.704 3.704
angles: 90.00 90.00 90.00
Sites, in units of the cell vectors:
1 Li 0.000 0.000 0.000
2 Ni 0.000 0.500 0.500
3 Ni 0.500 0.000 0.500
4 Ni 0.500 0.500 0.000
5 C 0.500 0.500 0.500

## Properties
- Relative energy among the computed polymorphs: 0.045 eV per atom
- SG: No. 221
- Energy of formation: -17 meV/atom

---

[5]
First-principles (meta-GGA SCAN) data for a PBEsol-optimized structure of Li2NiC2, as listed in Alexandria via LeMat-Bulk.

abc: 4.887 4.887 3.391
angles: 90.00 90.00 90.00
Sites, in units of the cell vectors:
1 Li 0.185 0.315 0.000
2 Li 0.315 0.815 0.000
3 Li 0.685 0.185 0.000
4 Li 0.815 0.685 0.000
5 Ni 0.000 0.000 0.500
6 Ni 0.500 0.500 0.500
7 C 0.099 0.599 0.500
8 C 0.401 0.099 0.500
9 C 0.599 0.901 0.500
10 C 0.901 0.401 0.500

## Properties
- SG: No. 127
- Energy of formation: 2 meV/atom

---

[6]
First-principles (meta-GGA SCAN) data for a PBEsol-optimized structure of LiNi3C, as listed in Alexandria via LeMat-Bulk.

abc: 4.884 4.884 4.802
angles: 90.00 90.00 121.22
Sites, in units of the cell vectors:
1 Li 0.040 0.960 0.500
2 Li 0.960 0.040 0.000
3 Ni 0.044 0.465 0.643
4 Ni 0.457 0.543 0.287
5 Ni 0.465 0.044 0.143
6 Ni 0.535 0.956 0.643
7 Ni 0.543 0.457 0.787
8 Ni 0.956 0.535 0.143
9 C 0.341 0.659 0.948
10 C 0.659 0.341 0.448

## Properties
- Relative energy among the computed polymorphs: 0.000 eV per atom
- SG: No. 36
- Energy of formation: -61 meV/atom

---

Repeat the fourth record exactly.
First-principles (meta-GGA SCAN) data for a PBEsol-optimized structure of LiNi3C, as listed in Alexandria via LeMat-Bulk.

abc: 3.704 3.704 3.704
angles: 90.00 90.00 90.00
Sites, in units of the cell vectors:
1 Li 0.000 0.000 0.000
2 Ni 0.000 0.500 0.500
3 Ni 0.500 0.000 0.500
4 Ni 0.500 0.500 0.000
5 C 0.500 0.500 0.500

## Properties
- Relative energy among the computed polymorphs: 0.045 eV per atom
- SG: No. 221
- Energy of formation: -17 meV/atom